(1)
The following is a DFT calculation (PBE) of crystalline Nd4TmIn4 at its relaxed geometry.

Values from the calculation:
E_tot, eV/atom: -4.124

Cell lengths 6.283, 9.217, 9.217 Å; angles 90.00, 90.00, 90.00 degrees
Fractional coordinates of all 18 atoms:
Nd: 0.369 0.428 0.828
Nd: 0.869 0.672 0.928
Nd: 0.369 0.572 0.172
Nd: 0.131 0.072 0.672
Nd: 0.631 0.828 0.572
Nd: 0.131 0.928 0.328
Nd: 0.869 0.328 0.072
Nd: 0.631 0.172 0.428
Tm: 0.000 0.000 0.000
Tm: 0.500 0.500 0.500
In: 0.620 0.902 0.199
In: 0.620 0.098 0.801
In: 0.120 0.699 0.598
In: 0.880 0.402 0.699
In: 0.880 0.598 0.301
In: 0.380 0.199 0.098
In: 0.380 0.801 0.902
In: 0.120 0.301 0.402

***

(2)
The following is a DFT calculation (PBE) of crystalline NdTmIn2 at its relaxed geometry.

Values from the calculation:
E_tot, eV/atom: -4.145

Cell lengths 3.793, 3.793, 7.598 Å; angles 90.00, 90.00, 90.00 degrees
Fractional coordinates of all 4 atoms:
Tm: 0.500 0.500 0.000
Nd: 0.500 0.500 0.500
In: 0.000 0.000 0.766
In: 0.000 0.000 0.234

***

(3)
The following is a DFT calculation (PBE) of crystalline Nd2Y2Tm2In at its relaxed geometry.

Values from the calculation:
E_tot, eV/atom: -4.902

Cell lengths 3.534, 6.174, 11.644 Å; angles 112.50, 90.00, 106.63 degrees
Fractional coordinates of all 7 atoms:
Nd: 0.527 0.054 0.754
Nd: 0.473 0.946 0.246
Y: 0.677 0.353 0.087
Y: 0.323 0.647 0.913
Tm: 0.746 0.492 0.629
Tm: 0.254 0.508 0.371
In: 0.000 0.000 0.500

***

(4)
The following is a DFT calculation (PBE) of crystalline Nd2YTmIn2 at its relaxed geometry.

Values from the calculation:
E_tot, eV/atom: -4.681

Cell lengths 5.233, 6.824, 9.986 Å; angles 90.00, 90.00, 90.00 degrees
Fractional coordinates of all 12 atoms:
Nd: 0.500 0.044 0.040
Nd: 0.000 0.321 0.181
Nd: 0.500 0.544 0.960
Nd: 0.000 0.821 0.819
Y: 0.000 0.971 0.462
Y: 0.000 0.471 0.538
Tm: 0.500 0.192 0.679
Tm: 0.500 0.692 0.321
In: 0.000 0.296 0.847
In: 0.500 0.221 0.367
In: 0.000 0.796 0.153
In: 0.500 0.721 0.633